Entry 1:
First-principles (PBEsol) data for crystalline FeCuAu2 at its relaxed geometry, as listed in Alexandria.

```
FeCuAu2
1.0
-2.332 -1.085 -1.014
0.237 -2.135 1.740
-3.962 3.733 5.118
Fe Au Cu
1 2 1
Cartesian
-3.029 0.257 2.922
-0.985 0.929 1.273
-2.976 2.805 3.845
-1.048 -1.610 0.363
```

Values from the calculation:
The calculation puts the uncorrected energy at -5.216 eV per atom. Its volume is 14.275 Å³ per atom. The density of states at the Fermi level comes out at 0.6675 states/eV per atom.

=====

Entry 2:
First-principles (PBEsol) data for crystalline SiSeO2 at its relaxed geometry, as listed in Alexandria.

```
SiSeO2
1.0
2.706 0.000 0.000
1.353 2.343 0.000
1.353 0.781 9.515
O Si Se
2 1 1
Cartesian
1.353 0.781 5.663
4.059 2.343 3.852
2.706 1.562 4.757
0.000 0.000 0.000
```

Values from the calculation:
The calculation puts the uncorrected energy at -6.800 eV per atom. The formation energy without anion corrections is -1.78 eV/atom. Its volume is 15.081 Å³ per atom. The density of states at the Fermi level comes out at 0.2511 states/eV per atom.

=====

Entry 3:
First-principles (PBEsol) data for crystalline YInC2I at its relaxed geometry, as listed in Alexandria.

```
YInC2I
1.0
-1.269 0.020 -4.087
1.601 -3.935 -0.517
-5.329 -2.384 1.642
C I In Y
2 1 1 1
Cartesian
-0.634 0.010 -2.044
0.801 -1.968 -0.258
-2.498 -3.149 -1.481
0.000 0.000 0.000
-2.664 -1.192 0.821
```

Values from the calculation:
The calculation puts the uncorrected energy at -4.479 eV per atom. The formation energy without anion corrections is 1.69 eV/atom. Its volume is 22.215 Å³ per atom. The density of states at the Fermi level comes out at 0.7310 states/eV per atom.

=====

Entry 4:
First-principles (PBEsol) data for crystalline Ag12Br17 at its relaxed geometry, as listed in Alexandria.

```
Ag12Br17
1.0
11.173 0.000 0.000
-3.724 10.534 0.000
-3.724 -5.267 9.123
Ag Br
12 17
Cartesian
-0.790 -1.118 5.010
4.881 0.887 1.537
-0.790 4.897 1.537
7.873 -2.005 3.473
-4.515 6.754 3.473
2.934 4.149 4.113
1.157 8.760 0.000
2.934 1.487 5.650
1.157 -4.380 7.586
7.873 4.010 0.000
-4.515 -0.370 7.586
0.424 3.262 5.650
-3.183 4.647 2.515
-0.959 2.713 0.000
0.000 0.000 0.000
0.541 5.121 3.841
4.648 2.217 3.841
-3.183 -0.146 5.282
-2.006 3.815 6.608
2.877 0.000 0.000
5.442 -1.452 2.515
0.541 0.765 6.355
0.924 6.099 0.000
2.765 3.911 6.773
5.442 2.904 0.000
-0.959 -1.356 2.349
0.924 -3.050 5.282
4.266 -0.620 6.608
4.266 6.032 2.767
```

Values from the calculation:
The calculation puts the uncorrected energy at -2.629 eV per atom. The formation energy without anion corrections is -0.16 eV/atom. Its volume is 37.024 Å³ per atom. The density of states at the Fermi level comes out at 0.3231 states/eV per atom.

=====

Entry 5:
First-principles (PBEsol) data for crystalline Li3BiO4 at its relaxed geometry, as listed in Alexandria.

```
Li3BiO4
1.0
-2.439 7.088 0.740
-5.861 -4.720 0.339
4.827 -1.588 5.560
O Li Bi
16 12 4
Cartesian
-3.827 -2.183 1.840
2.384 2.385 4.535
-4.780 2.927 0.725
-2.667 0.600 5.101
-0.248 1.573 3.207
-2.102 3.770 2.042
-1.108 -1.395 3.106
-1.358 -1.094 0.079
-0.565 1.643 0.171
0.659 -3.568 4.333
1.561 -0.604 4.472
-1.954 -4.334 3.057
0.608 4.506 3.357
-5.617 0.040 0.627
1.119 -0.368 1.288
-2.935 0.786 1.894
0.851 -2.161 2.986
0.325 2.826 4.597
1.819 1.181 3.099
0.099 3.235 1.958
-3.736 -0.447 0.386
-4.808 1.322 2.090
-1.318 -2.844 4.405
-0.301 -0.074 4.762
-2.358 2.381 3.398
-3.326 -0.961 3.284
-1.680 -2.903 1.750
-2.926 2.348 0.481
-4.211 -3.391 0.244
3.468 -1.141 3.995
-1.752 5.093 0.532
-0.978 0.220 1.869
```

Values from the calculation:
The calculation puts the uncorrected energy at -5.433 eV per atom. The formation energy without anion corrections is -1.53 eV/atom. Its volume is 10.281 Å³ per atom.

=====

Entry 6:
First-principles (PBEsol) data for crystalline ScCo3S at its relaxed geometry, as listed in Alexandria.

```
ScCo3S
1.0
-1.713 -3.375 -2.138
3.880 -0.850 -1.767
0.954 -2.604 3.347
S Co Sc
1 3 1
Cartesian
1.560 -3.415 -0.279
-0.857 -1.688 -1.069
1.940 -0.425 -0.883
0.477 -1.302 1.674
0.000 0.000 0.000
```

Values from the calculation:
The calculation puts the uncorrected energy at -5.252 eV per atom. The formation energy without anion corrections is 1.59 eV/atom. Its volume is 16.431 Å³ per atom. The density of states at the Fermi level comes out at 1.6686 states/eV per atom.

=====

Entry 7:
First-principles (PBEsol) data for crystalline PmBiAu2 at its relaxed geometry, as listed in Alexandria.

```
PmBiAu2
1.0
5.061 0.000 0.000
2.530 4.383 0.000
2.530 1.461 4.132
Au Bi Pm
2 1 1
Cartesian
2.530 1.461 1.033
7.591 4.383 3.099
5.061 2.922 2.066
0.000 0.000 0.000
```

Values from the calculation:
The calculation puts the uncorrected energy at -4.931 eV per atom. Its volume is 22.913 Å³ per atom. The density of states at the Fermi level comes out at 0.3340 states/eV per atom.

=====

Entry 8:
First-principles (PBEsol) data for crystalline TaInBr2 at its relaxed geometry, as listed in Alexandria.

```
TaInBr2
1.0
-0.569 -1.661 2.662
-2.281 -3.911 -3.277
5.739 0.626 -0.118
In Ta Br
1 1 2
Cartesian
0.000 0.000 0.000
-1.425 -2.786 -0.308
2.870 0.313 -0.059
1.445 -2.473 -0.367
```

Values from the calculation:
The calculation puts the uncorrected energy at -4.451 eV per atom. The formation energy without anion corrections is 0.37 eV/atom. Its volume is 21.548 Å³ per atom. As for the energy relative to the lowest polymorph listed for this composition: 258 meV per atom. The density of states at the Fermi level comes out at 0.8006 states/eV per atom.

=====

Entry 9:
First-principles (PBEsol) data for crystalline Cu2MoHPt at its relaxed geometry, as listed in Alexandria.

```
Cu2MoHPt
1.0
-1.549 1.486 -2.287
-4.006 -1.106 1.995
0.139 3.906 2.444
H Pt Mo Cu
1 1 1 2
Cartesian
-0.775 0.743 -1.143
-2.708 2.143 1.076
0.000 0.000 0.000
-2.003 -0.553 0.998
0.069 1.953 1.222
```

Values from the calculation:
The calculation puts the uncorrected energy at -5.071 eV per atom. Its volume is 13.328 Å³ per atom. The density of states at the Fermi level comes out at 0.9659 states/eV per atom.

=====

Entry 10:
First-principles (PBEsol) data for crystalline Er3Sb4Pd8 at its relaxed geometry, as listed in Alexandria.

```
Er3Sb4Pd8
1.0
-6.501 5.584 3.337
-7.412 1.977 -5.073
-8.218 -3.397 2.347
Sb Pd Er
8 16 6
Cartesian
-7.359 1.093 2.842
-3.706 0.988 -2.536
-3.250 2.792 1.669
-4.109 -1.698 1.173
-11.065 2.082 0.306
0.000 0.000 0.000
-7.815 -0.710 -1.363
-6.956 3.780 -0.868
-6.519 1.532 -2.590
-19.501 3.669 0.539
-16.920 4.636 1.519
-6.942 -1.288 1.304
-15.611 2.632 3.201
-14.755 2.776 0.407
-4.907 0.729 1.894
-7.375 1.388 0.204
-17.492 1.644 1.189
-4.638 2.519 -0.578
-2.629 0.495 0.073
-16.089 0.739 -1.213
-6.041 3.425 1.824
-15.188 5.452 -0.693
-5.210 -0.472 -0.908
-17.223 3.434 -1.282
-13.121 0.505 -1.060
-12.710 2.129 2.728
-9.420 2.034 -2.117
-9.783 -0.386 1.225
-9.009 3.659 1.671
-12.347 4.549 -0.614
```

Values from the calculation:
The calculation puts the uncorrected energy at -6.237 eV per atom. The formation energy without anion corrections is -0.86 eV/atom. Its volume is 18.332 Å³ per atom. The density of states at the Fermi level comes out at 0.5052 states/eV per atom.

=====

Entry 11:
First-principles (PBEsol) data for crystalline SbTe3W at its relaxed geometry, as listed in Alexandria.

```
SbTe3W
1.0
-4.552 -0.084 -3.167
2.896 -2.360 -4.099
-1.286 -5.018 1.981
W Te Sb
1 3 1
Cartesian
-1.471 -3.731 -2.643
-0.643 -2.509 0.991
1.448 -1.180 -2.050
-2.276 -0.042 -1.584
0.000 0.000 0.000
```

Values from the calculation:
The calculation puts the uncorrected energy at -4.042 eV per atom. The formation energy without anion corrections is 1.75 eV/atom. Its volume is 34.120 Å³ per atom. The density of states at the Fermi level comes out at 1.0625 states/eV per atom.

=====

Entry 12:
First-principles (PBEsol) data for crystalline LaYIn2 at its relaxed geometry, as listed in Alexandria.

```
LaYIn2
1.0
3.459 0.000 0.000
0.000 4.353 0.000
0.000 0.000 7.193
In La Y
2 1 1
Cartesian
0.000 0.000 5.221
0.000 0.000 1.972
1.729 2.177 0.000
1.729 2.177 3.597
```

Values from the calculation:
The calculation puts the uncorrected energy at -5.088 eV per atom. Its volume is 27.077 Å³ per atom. The density of states at the Fermi level comes out at 0.6538 states/eV per atom.

=====

What did the twelfth record say?
First-principles (PBEsol) data for crystalline LaYIn2 at its relaxed geometry, as listed in Alexandria.

```
LaYIn2
1.0
3.459 0.000 0.000
0.000 4.353 0.000
0.000 0.000 7.193
In La Y
2 1 1
Cartesian
0.000 0.000 5.221
0.000 0.000 1.972
1.729 2.177 0.000
1.729 2.177 3.597
```

Values from the calculation:
The calculation puts the uncorrected energy at -5.088 eV per atom. Its volume is 27.077 Å³ per atom. The density of states at the Fermi level comes out at 0.6538 states/eV per atom.

=====

The lowest uncorrected energy belongs to which entry?
SiSeO2

=====

uncorrected energy of number 2 (SiSeO2)?
-6.800 eV per atom